1.
VASP calculation (PBE) on a relaxed structure of Nb2RePb.

a b c (Å): 4.7051 4.7051 4.7051
angles (deg): 60.00 60.00 60.00
Last column: nearest neighbours and their distance in Å.
Element x y z (fractional)
Nb  0.0000  0.0000  0.0000  4 Re 2.88, 4 Nb 2.88
Nb  0.7500  0.7500  0.7500  4 Pb 2.88, 4 Nb 2.88
Pb  0.5000  0.5000  0.5000  4 Re 2.88, 4 Nb 2.88
Re  0.2500  0.2500  0.2500  4 Pb 2.88, 4 Nb 2.88

Calculated values
calculated density	13.1	Mg/m³
crystal system	cubic

2.
VASP calculation (PBE) on a relaxed structure of NbPb2C.

a b c (Å): 3.3828 3.3828 15.4744
angles (deg): 90.00 90.00 120.00
Last column: nearest neighbours and their distance in Å.
Element x y z (fractional)
C  0.0000  0.0000  0.0000  6 Pb 2.47
C  0.0000  0.0000  0.5000  6 Pb 2.47
Nb  0.6667  0.3333  0.2500  6 Pb 3.06, 6 Nb 3.38
Nb  0.3333  0.6667  0.7500  6 Pb 3.06, 6 Nb 3.38
Pb  0.3333  0.6667  0.0979  3 C 2.47
Pb  0.3333  0.6667  0.4021  3 C 2.47
Pb  0.6667  0.3333  0.5979  3 C 2.47
Pb  0.6667  0.3333  0.9021  3 C 2.47

Calculated values
calculated density	11.2	Mg/m³
crystal system	hexagonal

3.
VASP calculation (PBE) on a relaxed structure of Sc3CoCN.

a b c (Å): 3.2095 3.2095 18.2922
angles (deg): 90.00 90.00 120.00
Last column: nearest neighbours and their distance in Å.
Element x y z (fractional)
C  0.3333  0.6667  0.0784  6 Sc 2.21-2.34
C  0.6667  0.3333  0.9216  6 Sc 2.21-2.34
Co  0.0000  0.0000  0.2557  6 Sc 2.66-2.76
Co  0.0000  0.0000  0.7443  6 Sc 2.66-2.76
N  0.3333  0.6667  0.4279  6 Sc 2.23-2.27
N  0.6667  0.3333  0.5721  6 Sc 2.23-2.27
Sc  0.0000  0.0000  0.0000  6 C 2.34
Sc  0.6667  0.3333  0.1439  3 C 2.21
Sc  0.6667  0.3333  0.3597  3 N 2.23
Sc  0.0000  0.0000  0.5000  6 N 2.27
Sc  0.3333  0.6667  0.6403  3 N 2.23
Sc  0.3333  0.6667  0.8561  3 C 2.21

Calculated values
calculated density	4.5	Mg/m³
crystal system	trigonal

4.
VASP calculation (PBE) on a relaxed structure of Sm2AlTc2.

a b c (Å): 3.4314 3.4314 21.6938
angles (deg): 90.00 90.00 120.00
Last column: nearest neighbours and their distance in Å.
Element x y z (fractional)
Al  0.0000  0.0000  0.0000  6 Tc 2.55
Al  0.0000  0.0000  0.5000  6 Tc 2.55
Sm  0.6667  0.3333  0.1696  3 Tc 2.87
Sm  0.6667  0.3333  0.3304  3 Tc 2.87
Sm  0.3333  0.6667  0.6696  3 Tc 2.87
Sm  0.3333  0.6667  0.8304  3 Tc 2.87
Tc  0.3333  0.6667  0.0742  3 Al 2.55
Tc  0.3333  0.6667  0.4258  3 Al 2.55
Tc  0.6667  0.3333  0.5742  3 Al 2.55
Tc  0.6667  0.3333  0.9258  3 Al 2.55

Calculated values
calculated density	7.9	Mg/m³
crystal system	hexagonal

5.
VASP calculation (PBE) on a relaxed structure of Ho2Lu3Al3.

a b c (Å): 6.3776 5.1148 6.4078
angles (deg): 90.00 110.02 90.00
Last column: nearest neighbours and their distance in Å.
Element x y z (fractional)
Al  0.1418  0.5000  0.3232  6 Lu 3.08-3.37, 4 Ho 3.10-3.34
Al  0.8816  0.0000  0.6569  4 Lu 2.98-3.22, 4 Ho 3.13-3.20
Al  0.6198  0.5000  0.9038  4 Lu 3.09-3.35, 4 Ho 3.11-3.31
Ho  0.6480  0.5000  0.3983  6 Al 3.10-3.34, 3 Lu 3.30-3.33
Ho  0.3711  0.0000  0.6231  6 Al 3.19-3.23, 4 Lu 3.19-3.53
Lu  0.3523  0.0000  0.1143  4 Lu 3.16-3.23, 4 Ho 3.19-3.33, 3 Al 3.37-3.40
Lu  0.8699  0.0000  0.1500  6 Al 3.08-3.22, 2 Lu 3.16-3.23
Lu  0.1156  0.5000  0.8306  5 Al 2.98-3.31, 2 Lu 3.20, 1 Ho 3.30

Calculated values
calculated density	7.9	Mg/m³
crystal system	monoclinic

6.
VASP calculation (PBE) on a relaxed structure of Ta7B4C4.

a b c (Å): 16.3133 16.3133 16.3133
angles (deg): 168.94 168.67 15.86
Last column: nearest neighbours and their distance in Å.
Element x y z (fractional)
B  0.0575  0.0575  0.0000  2 B 1.83
B  0.9425  0.9425  0.0000  2 B 1.83
B  0.9716  0.4716  0.5000  3 B 1.83-1.84
B  0.0284  0.5284  0.5000  3 B 1.83-1.84
C  0.2153  0.2153  0.0000  6 Ta 2.21-2.27
C  0.3524  0.3524  0.0000  6 Ta 2.13-2.25
C  0.6476  0.6476  0.0000  6 Ta 2.13-2.25
C  0.7847  0.7847  0.0000  6 Ta 2.21-2.27
Ta  0.1470  0.1470  0.0000  5 C 2.21-2.25
Ta  0.2857  0.2857  0.0000  6 C 2.16-2.27
Ta  0.4183  0.4183  0.0000  1 C 2.13, 6 B 2.36-2.38
Ta  0.5817  0.5817  0.0000  1 C 2.13, 6 B 2.36-2.38
Ta  0.7143  0.7143  0.0000  6 C 2.16-2.27
Ta  0.8530  0.8530  0.0000  5 C 2.21-2.25
Ta  0.5000  0.0000  0.5000  12 B 2.43-2.46

Calculated values
calculated density	13.8	Mg/m³
crystal system	orthorhombic

7.
VASP calculation (PBE) on a relaxed structure of KGeAuO3.

a b c (Å): 3.0237 10.3236 11.5164
angles (deg): 90.00 90.00 90.00
Last column: nearest neighbours and their distance in Å.
Element x y z (fractional)
Au  0.2500  0.5947  0.0270  2 O 2.13
Au  0.7500  0.0947  0.4730  2 O 2.13
Au  0.2500  0.9053  0.5270  2 O 2.13
Au  0.7500  0.4053  0.9730  2 O 2.13
Ge  0.2500  0.1215  0.0318  6 O 1.88-2.09
Ge  0.7500  0.6215  0.4682  6 O 1.88-2.09
Ge  0.2500  0.3785  0.5318  6 O 1.88-2.09
Ge  0.7500  0.8785  0.9682  6 O 1.88-2.09
K  0.2500  0.3595  0.2412  5 O 2.57-2.80
K  0.7500  0.8595  0.2588  5 O 2.57-2.80
K  0.2500  0.1405  0.7412  5 O 2.57-2.80
K  0.7500  0.6405  0.7588  5 O 2.57-2.80
O  0.7500  0.7325  0.0673  1 Ge 1.89
O  0.2500  0.9466  0.0776  3 Ge 1.88-2.09
O  0.7500  0.1744  0.1221  2 Ge 1.91
O  0.2500  0.6744  0.3779  2 Ge 1.91
O  0.7500  0.4466  0.4224  3 Ge 1.88-2.09
O  0.2500  0.2325  0.4327  1 Ge 1.89
O  0.7500  0.7675  0.5673  1 Ge 1.89
O  0.2500  0.5534  0.5776  3 Ge 1.88-2.09
O  0.7500  0.3256  0.6221  2 Ge 1.91
O  0.2500  0.8256  0.8779  2 Ge 1.91
O  0.7500  0.0534  0.9224  3 Ge 1.88-2.09
O  0.2500  0.2675  0.9327  1 Ge 1.89

Calculated values
calculated density	6.6	Mg/m³
crystal system	orthorhombic

8.
VASP calculation (PBE) on a relaxed structure of Cu2Ag.

a b c (Å): 16.4579 16.4579 16.4579
angles (deg): 170.37 170.37 13.63
Last column: nearest neighbours and their distance in Å.
Element x y z (fractional)
Ag  0.1153  0.1153  0.0000  4 Cu 2.74, 8 Ag 2.76-2.97
Ag  0.5468  0.5468  0.0000  4 Cu 2.75, 8 Ag 2.76-2.97
Ag  0.7822  0.7822  0.0000  8 Cu 2.75-2.76, 4 Ag 2.76
Cu  0.2229  0.2229  0.0000  8 Cu 2.52-2.76, 4 Ag 2.75
Cu  0.3417  0.3417  0.0000  8 Cu 2.52-2.76, 4 Ag 2.76
Cu  0.4390  0.4390  0.0000  12 Cu 2.52-2.76
Cu  0.6743  0.6743  0.0000  8 Cu 2.52-2.76, 4 Ag 2.74
Cu  0.8903  0.8903  0.0000  12 Cu 2.52-2.76
Cu  0.9876  0.9876  0.0000  8 Cu 2.52-2.76, 4 Ag 2.75

Calculated values
calculated density	9.4	Mg/m³
DFT formation energy	0.0635	eV per atom
crystal system	tetragonal

9.
VASP calculation (PBE) on a relaxed structure of ZnFeReGe.

a b c (Å): 4.2665 4.2665 4.2665
angles (deg): 60.00 60.00 60.00
Last column: nearest neighbours and their distance in Å.
Element x y z (fractional)
Fe  0.7500  0.7500  0.7500  4 Re 2.61, 4 Ge 2.61
Ge  0.0000  0.0000  0.0000  4 Zn 2.61, 4 Fe 2.61
Re  0.5000  0.5000  0.5000  4 Zn 2.61, 4 Fe 2.61
Zn  0.2500  0.2500  0.2500  4 Re 2.61, 4 Ge 2.61

Calculated values
calculated density	11.5	Mg/m³
crystal system	cubic

10.
VASP calculation (PBE) on a relaxed structure of TlPd15.

a b c (Å): 3.9682 7.8697 42.7626
angles (deg): 90.00 90.00 90.00
Last column: nearest neighbours and their distance in Å.
Element x y z (fractional)
Pd  0.7500  0.3858  0.1585  6 Pd 2.68-2.81, 2 Tl 2.72
Pd  0.2500  0.6142  0.1585  6 Pd 2.68-2.81, 2 Tl 2.72
Pd  0.7500  0.1193  0.2015  9 Pd 2.73-2.86, 2 Tl 3.06
Pd  0.2500  0.8807  0.2015  9 Pd 2.73-2.86, 2 Tl 3.06
Pd  0.2500  0.3702  0.2050  11 Pd 2.73-2.85, 1 Tl 2.97
Pd  0.7500  0.6298  0.2050  11 Pd 2.73-2.85, 1 Tl 2.97
Pd  0.2500  0.1221  0.2495  12 Pd 2.73-2.85
Pd  0.7500  0.8779  0.2495  12 Pd 2.73-2.85
Pd  0.7500  0.3714  0.2498  12 Pd 2.76-2.86
Pd  0.2500  0.6286  0.2498  12 Pd 2.76-2.86
Pd  0.2500  0.3743  0.2951  12 Pd 2.77-2.80
Pd  0.7500  0.6257  0.2951  12 Pd 2.77-2.80
Pd  0.7500  0.1256  0.2958  12 Pd 2.76-2.80
Pd  0.2500  0.8744  0.2958  12 Pd 2.76-2.80
Pd  0.7500  0.3755  0.3410  12 Pd 2.76-2.80
Pd  0.2500  0.6245  0.3410  12 Pd 2.76-2.80
Pd  0.2500  0.1247  0.3411  12 Pd 2.76-2.80
Pd  0.7500  0.8753  0.3411  12 Pd 2.76-2.80
Pd  0.2500  0.3759  0.3865  12 Pd 2.76-2.80
Pd  0.7500  0.6241  0.3865  12 Pd 2.76-2.80
Pd  0.7500  0.1242  0.3866  12 Pd 2.76-2.80
Pd  0.2500  0.8758  0.3866  12 Pd 2.76-2.80
Pd  0.2500  0.1247  0.4319  12 Pd 2.76-2.80
Pd  0.7500  0.8753  0.4319  12 Pd 2.76-2.80
Pd  0.7500  0.3749  0.4319  12 Pd 2.76-2.80
Pd  0.2500  0.6251  0.4319  12 Pd 2.76-2.80
Pd  0.7500  0.1257  0.4773  12 Pd 2.75-2.80
Pd  0.2500  0.8743  0.4773  12 Pd 2.75-2.80
Pd  0.2500  0.3743  0.4774  12 Pd 2.75-2.80
Pd  0.7500  0.6257  0.4774  12 Pd 2.75-2.80
Pd  0.7500  0.3743  0.5226  12 Pd 2.75-2.80
Pd  0.2500  0.6257  0.5226  12 Pd 2.75-2.80
Pd  0.2500  0.1257  0.5227  12 Pd 2.75-2.80
Pd  0.7500  0.8743  0.5227  12 Pd 2.75-2.80
Pd  0.2500  0.3749  0.5681  12 Pd 2.76-2.80
Pd  0.7500  0.6251  0.5681  12 Pd 2.76-2.80
Pd  0.7500  0.1247  0.5681  12 Pd 2.76-2.80
Pd  0.2500  0.8753  0.5681  12 Pd 2.76-2.80
Pd  0.2500  0.1242  0.6134  12 Pd 2.76-2.80
Pd  0.7500  0.8758  0.6134  12 Pd 2.76-2.80
Pd  0.7500  0.3759  0.6135  12 Pd 2.76-2.80
Pd  0.2500  0.6241  0.6135  12 Pd 2.76-2.80
Pd  0.7500  0.1247  0.6588  12 Pd 2.76-2.80
Pd  0.2500  0.8753  0.6588  12 Pd 2.76-2.80
Pd  0.2500  0.3755  0.6590  12 Pd 2.76-2.80
Pd  0.7500  0.6245  0.6590  12 Pd 2.76-2.80
Pd  0.2500  0.1256  0.7042  12 Pd 2.76-2.80
Pd  0.7500  0.8744  0.7042  12 Pd 2.76-2.80
Pd  0.7500  0.3743  0.7049  12 Pd 2.77-2.80
Pd  0.2500  0.6257  0.7049  12 Pd 2.77-2.80
Pd  0.2500  0.3713  0.7502  12 Pd 2.76-2.86
Pd  0.7500  0.6287  0.7502  12 Pd 2.76-2.86
Pd  0.7500  0.1221  0.7505  12 Pd 2.73-2.86
Pd  0.2500  0.8779  0.7505  12 Pd 2.73-2.86
Pd  0.7500  0.3703  0.7950  11 Pd 2.73-2.85, 1 Tl 2.97
Pd  0.2500  0.6297  0.7950  11 Pd 2.73-2.85, 1 Tl 2.97
Pd  0.2500  0.1194  0.7985  9 Pd 2.73-2.86, 2 Tl 3.06
Pd  0.7500  0.8806  0.7985  9 Pd 2.73-2.86, 2 Tl 3.06
Pd  0.2500  0.3858  0.8415  6 Pd 2.68-2.81, 2 Tl 2.72
Pd  0.7500  0.6142  0.8415  6 Pd 2.68-2.81, 2 Tl 2.72
Tl  0.2500  0.1574  0.1476  3 Pd 2.72-2.97
Tl  0.7500  0.8426  0.1476  3 Pd 2.72-2.97
Tl  0.7500  0.1575  0.8524  3 Pd 2.72-2.97
Tl  0.2500  0.8425  0.8524  3 Pd 2.72-2.97

Calculated values
calculated density	9.0	Mg/m³
crystal system	orthorhombic

11.
VASP calculation (PBE) on a relaxed structure of Rb2ZnAgBr6.

a b c (Å): 7.6147 7.6147 7.6147
angles (deg): 60.00 60.00 60.00
Last column: nearest neighbours and their distance in Å.
Element x y z (fractional)
Ag  0.0000  0.0000  0.0000  6 Br 2.75
Br  0.7444  0.2556  0.2556  1 Zn 2.63, 1 Ag 2.75
Br  0.7444  0.7444  0.2556  1 Zn 2.63, 1 Ag 2.75
Br  0.2556  0.7444  0.2556  1 Zn 2.63, 1 Ag 2.75
Br  0.2556  0.7444  0.7444  1 Zn 2.63, 1 Ag 2.75
Br  0.2556  0.2556  0.7444  1 Zn 2.63, 1 Ag 2.75
Br  0.7444  0.2556  0.7444  1 Zn 2.63, 1 Ag 2.75
Rb  0.2500  0.2500  0.2500  12 Br 3.81
Rb  0.7500  0.7500  0.7500  12 Br 3.81
Zn  0.5000  0.5000  0.5000  6 Br 2.63

Calculated values
calculated density	4.4	Mg/m³
crystal system	cubic

12.
VASP calculation (PBE) on a relaxed structure of Cs4Re3C9I3N9.

a b c (Å): 10.4409 10.4409 12.1635
angles (deg): 90.89 90.89 89.58
Last column: nearest neighbours and their distance in Å.
Element x y z (fractional)
C  0.3769  0.6883  0.0096  1 N 1.18
C  0.8195  0.4236  0.0991  1 N 1.18
C  0.5643  0.1386  0.1388  1 N 1.18
C  0.0377  0.2344  0.2317  1 N 1.18
C  0.0204  0.9796  0.2500  1 N 1.18
C  0.7656  0.9623  0.2683  1 N 1.18
C  0.8614  0.4357  0.3612  1 N 1.18
C  0.5764  0.1805  0.4009  1 N 1.18
C  0.3117  0.6231  0.4904  1 N 1.18
C  0.6883  0.3769  0.5096  1 N 1.18
C  0.4236  0.8195  0.5991  1 N 1.18
C  0.1386  0.5643  0.6388  1 N 1.18
C  0.2344  0.0377  0.7317  1 N 1.18
C  0.9796  0.0204  0.7500  1 N 1.18
C  0.9623  0.7656  0.7683  1 N 1.18
C  0.4357  0.8614  0.8612  1 N 1.18
C  0.1805  0.5764  0.9009  1 N 1.18
C  0.6231  0.3117  0.9904  1 N 1.18
Cs  0.7080  0.7624  0.0193  5 N 3.13-3.40
Cs  0.1266  0.5942  0.1945  7 N 3.07-3.41
Cs  0.4058  0.8734  0.3055  7 N 3.07-3.41
Cs  0.2376  0.2920  0.4807  5 N 3.13-3.40
Cs  0.7624  0.7080  0.5193  5 N 3.13-3.40
Cs  0.5942  0.1266  0.6945  7 N 3.07-3.41
Cs  0.8734  0.4058  0.8055  7 N 3.07-3.41
Cs  0.2920  0.2376  0.9807  5 N 3.13-3.40
I  0.8629  0.1037  0.0248  2 Re 2.73-2.75
I  0.5580  0.4420  0.2500  2 Re 2.74
I  0.8963  0.1371  0.4752  2 Re 2.73-2.75
I  0.1037  0.8629  0.5248  2 Re 2.73-2.75
I  0.4420  0.5580  0.7500  2 Re 2.74
I  0.1371  0.8963  0.9752  2 Re 2.73-2.75
N  0.8710  0.5167  0.0696  1 C 1.18
N  0.4207  0.6714  0.0980  1 C 1.18
N  0.4761  0.0692  0.1305  1 C 1.18
N  0.1340  0.2901  0.2193  1 C 1.18
N  0.1003  0.8997  0.2500  1 C 1.18
N  0.7099  0.8660  0.2807  1 C 1.18
N  0.9308  0.5239  0.3695  1 C 1.18
N  0.3286  0.5793  0.4020  1 C 1.18
N  0.4833  0.1290  0.4304  1 C 1.18
N  0.5167  0.8710  0.5696  1 C 1.18
N  0.6714  0.4207  0.5980  1 C 1.18
N  0.0692  0.4761  0.6305  1 C 1.18
N  0.2901  0.1340  0.7193  1 C 1.18
N  0.8997  0.1003  0.7500  1 C 1.18
N  0.8660  0.7099  0.7807  1 C 1.18
N  0.5239  0.9308  0.8695  1 C 1.18
N  0.5793  0.3286  0.9020  1 C 1.18
N  0.1290  0.4833  0.9304  1 C 1.18
Re  0.7147  0.2668  0.1475  3 C 2.07-2.18
Re  0.8718  0.1282  0.2500  3 C 2.08-2.19
Re  0.7332  0.2853  0.3525  3 C 2.07-2.18
Re  0.2668  0.7147  0.6475  3 C 2.07-2.18
Re  0.1282  0.8718  0.7500  3 C 2.08-2.19
Re  0.2853  0.7332  0.8525  3 C 2.07-2.18

Calculated values
calculated density	4.3	Mg/m³
crystal system	monoclinic

no.,raw total energy (eV per atom)
1,-8.610
2,-5.470
3,-7.974
4,-6.488
5,-4.482
6,-10.458
7,-5.175
8,-3.356
9,-6.176
10,-4.986
11,-2.589
12,-7.300